A geometry-optimized Cd2IO structure, computed with PBE.

Unit cell a=6.199 b=6.199 c=11.482 alpha=90.00 beta=90.00 gamma=90.00
Space group I-42d (No. 122)
Symmetry-distinct sites (fractional):
Cd  0.122  0.250  0.125 [8 per cell]
I  0.000  0.000  0.500 [4 per cell]
O  0.000  0.000  0.000 [4 per cell]

mass density	5.54	g/cm3
magnetic moment	0.00	μB per formula unit
volume	27.6	Å³ per atom
raw formation energy	-12.78	kcal/mol of atoms